Compound: Li3NiGe
Source: Alexandria via LeMat-Bulk
Functional: PBE-GGA
Structure: optimized geometry

Cell and atoms, written as POSCAR:
```
Li3NiGe
1.0
-4.528 3.266 2.688
4.528 -3.266 2.688
4.528 3.266 -2.688
Li Ni Ge
6 2 2
Direct
0.249 0.012 0.261
0.249 0.488 0.738
0.685 0.498 0.687
0.751 0.512 0.262
0.751 0.988 0.739
0.812 0.998 0.313
0.248 0.748 0.000
0.748 0.248 0.000
0.210 0.998 0.712
0.287 0.498 0.288
```

Summary:
Crystal system: orthorhombic
Relative energy among the computed polymorphs, kcal/mol of atoms: 0.000

=====

Compound: Li3NiGe2
Source: Alexandria via LeMat-Bulk
Functional: PBE-GGA
Structure: optimized geometry

Cell and atoms, written as POSCAR:
```
Li3NiGe2
1.0
-2.550 7.464 2.454
2.550 -7.464 2.454
2.550 7.464 -2.454
Li Ni Ge
6 2 4
Direct
0.192 0.159 0.351
0.250 0.250 0.000
0.308 0.659 0.968
0.692 0.341 0.032
0.750 0.750 0.000
0.808 0.841 0.649
0.250 0.750 0.500
0.750 0.250 0.500
0.127 0.657 0.784
0.373 0.157 0.530
0.627 0.843 0.470
0.873 0.343 0.216
```

Summary:
Crystal system: orthorhombic

=====

Compound: Li3NiGe
Source: Alexandria via LeMat-Bulk
Functional: PBE-GGA
Structure: optimized geometry

Cell and atoms, written as POSCAR:
```
Li3NiGe
1.0
4.408 0.000 0.000
0.000 4.408 0.000
0.000 0.000 4.408
Li Ni Ge
3 1 1
Direct
0.000 0.000 0.500
0.000 0.500 0.000
0.500 0.000 0.000
0.000 0.000 0.000
0.500 0.500 0.500
```

Summary:
Crystal system: cubic
Relative energy among the computed polymorphs, kcal/mol of atoms: 11.866

=====

Compound: LiNiGe2
Source: Alexandria via LeMat-Bulk
Functional: PBE-GGA
Structure: optimized geometry

Cell and atoms, written as POSCAR:
```
LiNiGe2
1.0
1.481 0.855 8.646
-1.481 0.855 8.646
0.000 -1.710 8.646
Li Ni Ge
1 1 2
Direct
0.000 0.000 0.000
0.500 0.500 0.500
0.097 0.097 0.097
0.903 0.903 0.903
```

Summary:
Crystal system: trigonal
Relative energy among the computed polymorphs, kcal/mol of atoms: 5.103

=====

Compound: Li3Ni2Ge2
Source: Alexandria via LeMat-Bulk
Functional: PBE-GGA
Structure: optimized geometry

Cell and atoms, written as POSCAR:
```
Li3Ni2Ge2
1.0
2.047 1.182 6.267
-2.047 1.182 6.267
0.000 -2.363 6.267
Li Ni Ge
3 2 2
Direct
0.000 0.000 0.000
0.142 0.142 0.142
0.858 0.858 0.858
0.283 0.283 0.283
0.717 0.717 0.717
0.412 0.412 0.412
0.588 0.588 0.588
```

Summary:
Crystal system: trigonal
Relative energy among the computed polymorphs, kcal/mol of atoms: 0.000

=====

Compound: LiNi4Ge2
Source: Alexandria via LeMat-Bulk
Functional: PBE-GGA
Structure: optimized geometry

Cell and atoms, written as POSCAR:
```
LiNi4Ge2
1.0
-1.923 1.923 6.133
1.923 -1.923 6.133
1.923 1.923 -6.133
Li Ni Ge
1 4 2
Direct
0.000 0.000 0.000
0.000 0.500 0.500
0.185 0.185 0.000
0.500 0.000 0.500
0.815 0.815 0.000
0.371 0.371 0.000
0.629 0.629 0.000
```

Summary:
Crystal system: tetragonal
Relative energy among the computed polymorphs, kcal/mol of atoms: 13.578

=====

Compound: LiNi12Ge6
Source: Alexandria via LeMat-Bulk
Functional: PBE-GGA
Structure: optimized geometry

Cell and atoms, written as POSCAR:
```
LiNi12Ge6
1.0
5.357 3.093 2.612
-5.357 3.093 2.612
0.000 -6.185 2.612
Li Ni Ge
1 12 6
Direct
0.000 0.000 0.000
0.119 0.500 0.881
0.119 0.881 0.500
0.161 0.411 0.411
0.411 0.161 0.411
0.411 0.411 0.161
0.500 0.119 0.881
0.500 0.881 0.119
0.589 0.589 0.839
0.589 0.839 0.589
0.839 0.589 0.589
0.881 0.119 0.500
0.881 0.500 0.119
0.262 0.262 0.706
0.262 0.706 0.262
0.294 0.738 0.738
0.706 0.262 0.262
0.738 0.294 0.738
0.738 0.738 0.294
```

Summary:
Crystal system: trigonal

=====

Compound: Li2NiGe
Source: Alexandria via LeMat-Bulk
Functional: PBE-GGA
Structure: optimized geometry

Cell and atoms, written as POSCAR:
```
Li2NiGe
1.0
3.544 0.000 0.000
0.000 3.544 0.000
0.000 0.000 4.134
Li Ni Ge
2 1 1
Direct
0.000 0.500 0.000
0.500 0.000 0.000
0.000 0.000 0.500
0.500 0.500 0.500
```

Summary:
Crystal system: tetragonal

=====

Compound: Li3Ni5Ge2
Source: Alexandria via LeMat-Bulk
Functional: PBE-GGA
Structure: optimized geometry

Cell and atoms, written as POSCAR:
```
Li3Ni5Ge2
1.0
-5.096 5.568 2.480
5.096 -5.568 2.480
5.096 5.568 -2.480
Li Ni Ge
6 10 4
Direct
0.235 0.596 0.830
0.250 0.250 0.000
0.265 0.096 0.361
0.735 0.904 0.639
0.750 0.750 0.000
0.765 0.404 0.170
0.146 0.368 0.514
0.250 0.501 0.251
0.250 0.750 0.500
0.250 0.999 0.749
0.354 0.868 0.222
0.646 0.132 0.778
0.750 0.001 0.251
0.750 0.250 0.500
0.750 0.499 0.749
0.854 0.632 0.486
0.155 0.839 0.994
0.345 0.339 0.684
0.655 0.661 0.316
0.845 0.161 0.006
```

Summary:
Crystal system: orthorhombic

=====

Compound: LiNiGe3
Source: Alexandria via LeMat-Bulk
Functional: PBE-GGA
Structure: optimized geometry

Cell and atoms, written as POSCAR:
```
LiNiGe3
1.0
4.443 0.000 0.000
0.000 4.443 0.000
0.000 0.000 4.443
Li Ni Ge
1 1 3
Direct
0.000 0.000 0.000
0.500 0.500 0.500
0.000 0.000 0.500
0.000 0.500 0.000
0.500 0.000 0.000
```

Summary:
Crystal system: cubic
Relative energy among the computed polymorphs, kcal/mol of atoms: 12.825

=====

Compound: LiNi8Ge2
Source: Alexandria via LeMat-Bulk
Functional: PBE-GGA
Structure: optimized geometry

Cell and atoms, written as POSCAR:
```
LiNi8Ge2
1.0
3.184 -5.444 0.000
3.184 5.444 0.000
-1.881 0.000 3.804
Li Ni Ge
1 8 2
Direct
0.000 0.000 0.000
0.099 0.322 0.632
0.214 0.786 0.000
0.322 0.099 0.632
0.405 0.405 0.187
0.595 0.595 0.813
0.678 0.901 0.368
0.786 0.214 0.000
0.901 0.678 0.368
0.306 0.694 0.500
0.694 0.306 0.500
```

Summary:
Crystal system: monoclinic

=====

Compound: LiNi2Ge3
Source: Alexandria via LeMat-Bulk
Functional: PBE-GGA
Structure: optimized geometry

Cell and atoms, written as POSCAR:
```
LiNi2Ge3
1.0
5.733 0.000 0.000
-2.867 4.965 0.000
0.000 0.000 6.058
Li Ni Ge
2 4 6
Direct
0.333 0.667 0.332
0.667 0.333 0.668
0.000 0.000 0.000
0.000 0.500 0.000
0.500 0.000 0.000
0.500 0.500 0.000
0.170 0.341 0.702
0.170 0.830 0.702
0.341 0.170 0.298
0.659 0.830 0.702
0.830 0.170 0.298
0.830 0.659 0.298
```

Summary:
Crystal system: trigonal

=====

Compound: LiNiGe2
Source: Alexandria via LeMat-Bulk
Functional: PBE-GGA
Structure: optimized geometry

Cell and atoms, written as POSCAR:
```
LiNiGe2
1.0
0.000 3.033 3.033
3.033 0.000 3.033
3.033 3.033 0.000
Li Ni Ge
1 1 2
Direct
0.000 0.000 0.000
0.500 0.500 0.500
0.250 0.250 0.250
0.750 0.750 0.750
```

Summary:
Crystal system: cubic
Relative energy among the computed polymorphs, kcal/mol of atoms: 2.110

=====

Compound: Li2NiGe
Source: Alexandria via LeMat-Bulk
Functional: PBE-GGA
Structure: optimized geometry

Cell and atoms, written as POSCAR:
```
Li2NiGe
1.0
-3.530 3.530 2.330
3.530 -3.530 2.330
3.530 3.530 -2.330
Li Ni Ge
4 2 2
Direct
0.096 0.625 0.971
0.375 0.346 0.471
0.654 0.125 0.029
0.875 0.904 0.529
0.000 0.000 0.000
0.750 0.250 0.500
0.250 0.750 0.500
0.500 0.500 0.000
```

Summary:
Crystal system: tetragonal

=====

Compound: Li2Ni3Ge4
Source: Alexandria via LeMat-Bulk
Functional: PBE-GGA
Structure: optimized geometry

Cell and atoms, written as POSCAR:
```
Li2Ni3Ge4
1.0
0.000 4.348 5.959
2.600 0.000 5.959
2.600 4.348 0.000
Li Ni Ge
2 3 4
Direct
0.116 0.116 0.884
0.884 0.884 0.116
0.000 0.000 0.500
0.500 0.500 0.000
0.500 0.500 0.500
0.173 0.510 0.490
0.490 0.827 0.173
0.510 0.173 0.827
0.827 0.490 0.510
```

Summary:
Crystal system: orthorhombic

=====

Compound: LiNi6Ge4
Source: Alexandria via LeMat-Bulk
Functional: PBE-GGA
Structure: optimized geometry

Cell and atoms, written as POSCAR:
```
LiNi6Ge4
1.0
6.921 0.000 0.000
-3.460 5.993 0.000
0.000 0.000 3.533
Li Ni Ge
1 6 4
Direct
0.000 0.000 0.000
0.203 0.407 0.500
0.203 0.797 0.500
0.537 0.073 0.000
0.537 0.463 0.000
0.593 0.797 0.500
0.927 0.463 0.000
0.333 0.667 0.000
0.364 0.182 0.500
0.818 0.182 0.500
0.818 0.636 0.500
```

Summary:
Crystal system: hexagonal
Relative energy among the computed polymorphs, kcal/mol of atoms: 0.000

=====

Compound: LiNi2Ge2
Source: Alexandria via LeMat-Bulk
Functional: PBE-GGA
Structure: optimized geometry

Cell and atoms, written as POSCAR:
```
LiNi2Ge2
1.0
-2.066 2.066 4.635
2.066 -2.066 4.635
2.066 2.066 -4.635
Li Ni Ge
1 2 2
Direct
0.000 0.000 0.000
0.375 0.375 0.000
0.625 0.625 0.000
0.250 0.750 0.500
0.750 0.250 0.500
```

Summary:
Crystal system: tetragonal
Relative energy among the computed polymorphs, kcal/mol of atoms: 4.083

=====

Compound: LiNiGe2
Source: Alexandria via LeMat-Bulk
Functional: PBE-GGA
Structure: optimized geometry

Cell and atoms, written as POSCAR:
```
LiNiGe2
1.0
-2.123 4.256 7.341
2.123 -4.256 7.341
2.123 4.256 -7.341
Li Ni Ge
4 4 8
Direct
0.201 0.201 0.000
0.207 0.000 0.207
0.793 0.000 0.793
0.799 0.799 0.000
0.092 0.347 0.745
0.397 0.653 0.745
0.603 0.347 0.255
0.908 0.653 0.255
0.083 0.583 0.500
0.156 0.810 0.346
0.413 0.413 0.000
0.463 0.810 0.654
0.537 0.190 0.346
0.587 0.587 0.000
0.844 0.190 0.654
0.917 0.417 0.500
```

Summary:
Crystal system: orthorhombic
Relative energy among the computed polymorphs, kcal/mol of atoms: 1.054

=====

Compound: Li3Ni3Ge2
Source: Alexandria via LeMat-Bulk
Functional: PBE-GGA
Structure: optimized geometry

Cell and atoms, written as POSCAR:
```
Li3Ni3Ge2
1.0
2.029 1.171 6.656
-2.029 1.171 6.656
0.000 -2.343 6.656
Li Ni Ge
3 3 2
Direct
0.000 0.000 0.000
0.125 0.125 0.125
0.628 0.628 0.628
0.248 0.248 0.248
0.503 0.503 0.503
0.753 0.753 0.753
0.379 0.379 0.379
0.873 0.873 0.873
```

Summary:
Crystal system: trigonal

=====

Compound: Li3Ni2Ge2
Source: Alexandria via LeMat-Bulk
Functional: PBE-GGA
Structure: optimized geometry

Cell and atoms, written as POSCAR:
```
Li3Ni2Ge2
1.0
3.898 0.000 0.000
0.000 2.640 0.000
-1.951 0.000 9.369
Li Ni Ge
3 2 2
Direct
0.000 0.000 0.000
0.287 0.000 0.574
0.713 0.000 0.426
0.130 0.000 0.259
0.870 0.000 0.741
0.413 0.500 0.826
0.587 0.500 0.174
```

Summary:
Crystal system: monoclinic
Relative energy among the computed polymorphs, kcal/mol of atoms: 5.674

=====

no.,calculated total energy (eV/cell),ΔH_f (0 K) (eV/atom)
1,-33.73,-0.1451
2,-44.74,-0.2691
3,-14.29,0.3695
4,-17.13,-0.0511
5,-29.40,-0.4092
6,-32.30,0.2817
7,-101.84,-0.1499
8,-15.18,-0.2385
9,-88.58,-0.0406
10,-18.07,0.6963
11,-57.81,-0.0371
12,-55.96,-0.1084
13,-17.65,-0.1809
14,-28.58,-0.0157
15,-41.85,-0.2460
16,-58.72,-0.3317
17,-23.22,-0.1011
18,-71.35,-0.2267
19,-35.31,-0.3740
20,-27.68,-0.1631